Record 1
PrGe3Pt2, optimized geometry, DFT PBE; calculated volume = 19.47 Å³ per atom; ΔH_f (0 K) = -684 meV/atom; SG = C2/m, No. 12
1.0
8.228 -2.185 0.000
8.228 2.185 0.000
-2.682 0.000 9.747
Pr Ge Pt
3 9 6
Cartesian
0.000 0.000 0.000
0.720 0.000 6.904
13.053 0.000 2.843
-0.257 0.000 3.494
2.505 0.000 3.596
5.472 0.000 0.613
3.836 0.000 7.933
6.887 0.000 4.873
9.938 0.000 1.813
8.301 0.000 9.134
11.269 0.000 6.151
14.031 0.000 6.252
2.943 0.000 0.994
4.308 0.000 5.288
7.410 0.000 2.181
6.364 0.000 7.565
9.466 0.000 4.459
10.830 0.000 8.753

***

Record 2
AlNi2BRu, optimized geometry, DFT PBE; calculated volume = 11.46 Å³ per atom; ΔH_f (0 K) = -346 meV/atom; SG = P4/mmm, No. 123
1.0
3.782 0.000 0.000
0.000 3.782 0.000
0.000 0.000 4.007
Al Ni B Ru
1 2 1 1
Cartesian
0.000 0.000 0.000
0.000 1.891 2.003
1.891 0.000 2.003
1.891 1.891 2.003
1.891 1.891 0.000

***

Record 3
InSn3Ge, optimized geometry, DFT PBE; calculated volume = 34.62 Å³ per atom; ΔH_f (0 K) = 784 meV/atom; SG = Pm-3m, No. 221; energy above the lowest structure with this stoichiometry = 1.75 eV/f.u.
1.0
5.573 0.000 0.000
0.000 5.573 0.000
0.000 0.000 5.573
In Sn Ge
1 3 1
Cartesian
0.000 0.000 0.000
0.000 0.000 2.787
0.000 2.787 0.000
2.787 0.000 0.000
2.787 2.787 2.787

***

Record 4
LaSi3, optimized geometry, DFT PBE; raw formation energy = -156.2 meV per atom; calculated volume = 20.23 Å³ per atom; SG = Pmmm, No. 47
1.0
3.241 0.000 0.000
0.000 4.403 0.000
0.000 0.000 5.669
La Si
1 3
Cartesian
0.000 0.000 0.000
1.621 0.000 2.835
1.621 2.202 1.622
1.621 2.202 4.048

***

Record 5
CrAs2C, optimized geometry, DFT PBE; calculated volume = 16.73 Å³ per atom; ΔH_f (0 K) = 684 meV/atom; SG = I-42d, No. 122
1.0
5.602 0.000 0.000
0.000 5.602 0.000
0.000 0.000 8.530
Cr As C
4 8 4
Cartesian
0.000 0.000 0.000
0.000 2.801 2.132
2.801 0.000 6.397
2.801 2.801 4.265
1.027 1.401 5.331
1.401 3.828 7.463
1.401 4.575 3.199
1.774 1.401 1.066
3.828 4.202 1.066
4.202 1.027 3.199
4.202 1.774 7.463
4.575 4.202 5.331
0.000 0.000 4.265
0.000 2.801 6.397
2.801 0.000 2.132
2.801 2.801 0.000

***

Record 6
NdYScAg, optimized geometry, DFT PBE; calculated volume = 26.95 Å³ per atom; ΔH_f (0 K) = 35 meV/atom; SG = F-43m, No. 216; energy above the lowest structure with this stoichiometry = 0.57 eV/f.u.
1.0
7.555 0.000 0.000
0.000 7.555 0.000
0.000 0.000 7.555
Nd Y Sc Ag
4 4 4 4
Cartesian
0.000 0.000 0.000
0.000 3.778 3.778
3.778 0.000 3.778
3.778 3.778 0.000
0.000 0.000 3.778
0.000 3.778 0.000
3.778 0.000 0.000
3.778 3.778 3.778
1.889 1.889 1.889
1.889 5.666 5.666
5.666 1.889 5.666
5.666 5.666 1.889
1.889 1.889 5.666
1.889 5.666 1.889
5.666 1.889 1.889
5.666 5.666 5.666

***

Record 7
Al2CdFe, optimized geometry, DFT PBE; calculated volume = 15.53 Å³ per atom; ΔH_f (0 K) = -102 meV/atom; SG = P4/mmm, No. 123
1.0
2.910 0.000 0.000
0.000 2.910 0.000
0.000 0.000 7.332
Al Cd Fe
2 1 1
Cartesian
0.000 0.000 1.353
0.000 0.000 5.979
1.455 1.455 3.666
1.455 1.455 0.000

***

Record 8
Na4Cd3PO8, optimized geometry, DFT PBE; raw formation energy = -1328.1 meV per atom; calculated volume = 12.47 Å³ per atom; SG = R-3m, No. 166
1.0
3.268 1.887 5.396
-3.268 1.887 5.396
0.000 -3.773 5.396
Na Cd P O
4 3 1 8
Cartesian
0.000 0.000 0.000
-1.634 -0.943 5.396
-1.634 0.943 10.791
0.000 1.887 5.396
-3.268 0.000 8.093
-1.634 0.943 2.698
1.634 0.943 2.698
0.000 0.000 8.093
0.000 0.000 3.904
0.000 -1.441 7.052
-1.248 0.720 7.052
-1.248 -0.720 9.134
1.248 0.720 7.052
1.248 -0.720 9.134
0.000 1.441 9.134
0.000 0.000 12.283

***

Record 9
Sr6AgAu5, optimized geometry, DFT PBE; calculated volume = 28.61 Å³ per atom; ΔH_f (0 K) = -656 meV/atom; SG = Cmmm, No. 65
1.0
2.723 -8.140 0.000
2.723 8.140 0.000
0.000 0.000 7.745
Sr Ag Au
6 1 5
Cartesian
0.000 0.000 1.898
0.000 0.000 5.847
2.723 2.746 1.924
2.723 2.746 5.821
2.723 -2.746 1.924
2.723 -2.746 5.821
2.723 0.000 3.873
2.723 5.502 3.873
2.723 5.427 0.000
2.723 0.000 0.000
2.723 -5.427 0.000
2.723 -5.502 3.873

***

Record 10
Sc2Cu4Ni3, optimized geometry, DFT PBE; calculated volume = 13.51 Å³ per atom; ΔH_f (0 K) = -330 meV/atom; SG = Fmmm, No. 69
1.0
0.000 4.184 6.146
2.365 0.000 6.146
2.365 4.184 0.000
Sc Cu Ni
2 4 3
Cartesian
2.365 4.184 1.561
2.365 4.184 10.731
2.365 2.826 4.034
2.365 5.541 4.034
2.365 2.826 8.257
2.365 5.541 8.257
1.183 2.092 0.000
1.183 2.092 6.146
2.365 4.184 6.146

***

Record 11
ZrTl2SiMo, optimized geometry, DFT PBE; raw formation energy = 1359.7 meV per atom; calculated volume = 31.16 Å³ per atom; SG = P4/mmm, No. 123
1.0
5.546 0.000 0.000
0.000 5.546 0.000
0.000 0.000 5.065
Zr Tl Si Mo
1 2 1 1
Cartesian
0.000 0.000 0.000
0.000 2.773 0.000
2.773 0.000 0.000
0.000 0.000 2.532
2.773 2.773 2.532

***

Record 12
ZrTeAs, optimized geometry, DFT PBE; raw formation energy = -390.3 meV per atom; calculated volume = 26.63 Å³ per atom; SG = F-43m, No. 216
1.0
6.837 0.000 0.000
0.000 6.837 0.000
0.000 0.000 6.837
Zr Te As
4 4 4
Cartesian
0.000 0.000 0.000
0.000 3.419 3.419
3.419 0.000 3.419
3.419 3.419 0.000
1.709 1.709 5.128
1.709 5.128 1.709
5.128 1.709 1.709
5.128 5.128 5.128
1.709 1.709 1.709
1.709 5.128 5.128
5.128 1.709 5.128
5.128 5.128 1.709